The following is a DFT calculation (PBE-GGA) of crystalline RbLiSe3 at its relaxed geometry.

Structure (POSCAR):
```
RbLiSe3
1.0
-2.834 2.744 -4.837
-5.318 -2.924 1.457
-1.626 4.783 3.666
Se Rb Li
3 1 1
Cartesian
-2.659 -1.462 0.729 Se
-0.813 2.391 1.833 Se
-1.417 1.372 -2.418 Se
0.000 0.000 0.000 Rb
-4.889 2.301 0.143 Li
```

## Properties
Excess energy over the best structure of this formula in the dataset (eV/atom): 0.851
Formation energy from raw total energies (eV/atom): 0.57
Density of states at the Fermi level (states/eV per cell): 6.30
Volume (Å³/cell): 243
E_tot (eV/atom): -2.094
Symmetry: Pm-3m, No. 221